Entry 1:
Entry from OQMD: a relaxed K2TaF7 crystal (GGA-PBE).

Computed properties:
crystal system	orthorhombic
energy above the lowest structure with this stoichiometry	20	meV per atom

The structure in POSCAR format:
```
K2TaF7
1.0
9.1944 0.0000 0.0000
0.0000 5.4440 0.0000
0.0000 0.0000 11.2566
F Ta K
28 4 8
direct
0.3666 0.4860 0.0438
0.0831 0.0178 0.1497
0.6900 0.9720 0.7430
0.1547 0.2500 0.9697
0.3453 0.7500 0.4697
0.3666 0.0140 0.0438
0.5831 0.4822 0.3503
0.9169 0.5178 0.8503
0.1334 0.5140 0.5438
0.6547 0.2500 0.5303
0.4169 0.9822 0.6497
0.6334 0.5140 0.9562
0.8666 0.4860 0.4562
0.3100 0.0280 0.2570
0.1900 0.9720 0.7570
0.9169 0.9822 0.8503
0.8100 0.0280 0.2430
0.5831 0.0178 0.3503
0.8453 0.7500 0.0303
0.3100 0.4720 0.2570
0.6334 0.9860 0.9562
0.8100 0.4720 0.2430
0.6900 0.5280 0.7430
0.1334 0.9860 0.5438
0.0831 0.4822 0.1497
0.8666 0.0140 0.4562
0.4169 0.5178 0.6497
0.1900 0.5280 0.7570
0.2449 0.2500 0.1307
0.7551 0.7500 0.8693
0.2551 0.7500 0.6307
0.7449 0.2500 0.3693
0.5600 0.7500 0.1624
0.3659 0.2500 0.4556
0.0600 0.7500 0.3376
0.8659 0.2500 0.0444
0.4400 0.2500 0.8376
0.9400 0.2500 0.6624
0.6341 0.7500 0.5444
0.1341 0.7500 0.9556
```

---

Entry 2:
Entry from OQMD: a relaxed K3TaF8 crystal (GGA-PBE).

Computed properties:
calculated total energy	-5.6000	eV/atom
crystal system	hexagonal

The structure in POSCAR format:
```
K3TaF8
1.0
7.9957 0.0000 0.0000
-3.9978 6.9244 0.0000
0.0000 0.0000 6.0370
F K Ta
16 6 2
direct
0.1146 0.5573 0.5264
0.5573 0.4427 0.0264
0.4427 0.8854 0.5264
0.5573 0.1146 0.0264
0.3941 0.1970 0.3206
0.6667 0.3333 0.5675
0.1970 0.8030 0.8206
0.4427 0.5573 0.5264
0.0000 0.0000 0.0030
0.8030 0.6059 0.3206
0.3333 0.6667 0.0675
0.8854 0.4427 0.0264
0.1970 0.3941 0.8206
0.6059 0.8030 0.8206
0.0000 0.0000 0.5030
0.8030 0.1970 0.3206
0.8447 0.1553 0.7448
0.6895 0.8447 0.2448
0.8447 0.6895 0.7448
0.3105 0.1553 0.7448
0.1553 0.8447 0.2448
0.1553 0.3105 0.2448
0.3333 0.6667 0.7398
0.6667 0.3333 0.2398
```